Entry 1:
A plane-wave DFT calculation with PBE-GGA was carried out for an optimized crystal structure of HfAsO4F.

Crystal system: monoclinic

Structure (CIF):
```
data_HfAsO4F
_space_group_name_H-M_alt 'C 1 2/m 1'
_space_group_IT_number 12
_cell_length_a 8.887
_cell_length_b 6.718
_cell_length_c 6.493
_cell_angle_alpha 90.00
_cell_angle_beta 107.74
_cell_angle_gamma 90.00
loop_
_space_group_symop_operation_xyz
'x,y,z'
'-x,-y,-z'
'-x,y,-z'
'x,-y,z'
'x+1/2,y+1/2,z'
'-x+1/2,-y+1/2,-z'
'-x+1/2,y+1/2,-z'
'x+1/2,-y+1/2,z'
loop_
_atom_site_label
_atom_site_fract_x
_atom_site_fract_y
_atom_site_fract_z
Hf1 0.215 0.000 0.117
As1 0.150 0.500 0.294
O1 0.045 0.500 0.738
O2 0.198 0.313 0.139
O3 0.230 0.000 0.450
F1 0.024 0.000 0.835
```

Entry 2:
A plane-wave DFT calculation with PBE-GGA was carried out for an optimized crystal structure of HfAsOF2.

Crystal system: tetragonal
Distance to the lowest polymorph of the same formula: 0.000 eV/atom

Structure (CIF):
```
data_HfAsOF2
_space_group_name_H-M_alt 'P 4/m m m'
_space_group_IT_number 123
_space_group_name_Hall '-P 4 2'
_cell_length_a 4.335
_cell_length_b 4.335
_cell_length_c 4.049
_cell_angle_alpha 90.00
_cell_angle_beta 90.00
_cell_angle_gamma 90.00
loop_
_atom_site_label
_atom_site_fract_x
_atom_site_fract_y
_atom_site_fract_z
Hf1 0.000 0.000 0.000
As1 0.500 0.500 0.500
O1 0.000 0.000 0.500
F1 0.000 0.500 0.000
```

Number 1: DFT total energy -0.2792 Ha/atom. Number 2: DFT total energy -0.2460 Ha/atom.